Density functional theory data (PBE) for a geometry-optimized Hf3TeRu structure.

Output
**Calculated total energy**: -7.15 eV per atom
**Polymorph energy (0 for the lowest one)**: 1224 meV/atom
**Energy relative to the elements, uncorrected**: 1.307 eV/atom
**Calculated density**: 9.5 Mg/m³
**N(E_F)**: 5.0 states/eV per cell

abc: 5.1055 5.1055 5.1055
angles: 90.00 90.00 90.00
With the nearest neighbours (Å) after each atom.
Space group Pm-3m (No. 221)
Symmetry-distinct sites (fractional):
Hf 0.0000 0.0000 0.5000 (multiplicity 3)  2 Te 2.55
Te 0.0000 0.0000 0.0000 (multiplicity 1)  6 Hf 2.55
Ru 0.5000 0.5000 0.5000 (multiplicity 1)  12 Hf 3.61